Record 1
Material: Pr3SmTe4
Method: DFT, PBE
State: optimized geometry

Properties
The value obtained for the uncorrected formation energy is -1.424 eV/atom. Its energy relative to the lowest polymorph listed for this composition is 0 meV per atom. The calculation puts the spin magnetization at 0.0 Bohr magnetons per cell. For the electronic total energy, the calculation gives -5.377 eV per atom.

Unit cell a=9.110 b=12.760 c=4.465 alpha=90.00 beta=90.00 gamma=90.00
Space group Cmmm (No. 65)
One atom of each set of equivalent atoms:
1 Pr 0.000 0.000 0.000 [2 per cell]
2 Pr 0.250 0.250 0.500 [4 per cell]
3 Sm 0.000 0.500 0.000 [2 per cell]
4 Te 0.000 0.252 0.000 [4 per cell]
5 Te 0.245 0.500 0.500 [4 per cell]

---

Record 2
Material: PrSm4Te6
Method: DFT, PBE
State: optimized geometry

Properties
The value obtained for the uncorrected formation energy is -1.428 eV/atom. The calculation puts the spin magnetization at 0.0 Bohr magnetons per cell. For the electronic total energy, the calculation gives -5.292 eV per atom.

Unit cell a=4.368 b=14.566 c=22.696 alpha=90.00 beta=90.00 gamma=90.00
Space group Cmcm (No. 63)
One atom of each set of equivalent atoms:
1 Pr 0.000 0.155 0.250 [4 per cell]
2 Sm 0.000 0.088 0.626 [8 per cell]
3 Sm 0.000 0.357 0.536 [8 per cell]
4 Te 0.000 0.000 0.000 [4 per cell]
5 Te 0.000 0.183 0.750 [4 per cell]
6 Te 0.000 0.267 0.093 [8 per cell]
7 Te 0.000 0.445 0.665 [8 per cell]

---

Record 3
Material: PrSmTe2
Method: DFT, PBE
State: optimized geometry

Properties
The value obtained for the uncorrected formation energy is -1.412 eV/atom. Its energy relative to the lowest polymorph listed for this composition is 12 meV per atom. The calculation puts the spin magnetization at 0.0 Bohr magnetons per cell. For the electronic total energy, the calculation gives -5.358 eV per atom.

Unit cell a=7.764 b=4.508 c=7.760 alpha=90.00 beta=109.71 gamma=90.00
Space group C2/m (No. 12)
One atom of each set of equivalent atoms:
1 Pr 0.000 0.000 0.000 [2 per cell]
2 Sm 0.000 0.500 0.500 [2 per cell]
3 Te 0.248 0.000 0.743 [4 per cell]

---

Record 4
Material: Pr3SmTe4
Method: DFT, PBE
State: optimized geometry

Properties
The value obtained for the uncorrected formation energy is -1.410 eV/atom. Its energy relative to the lowest polymorph listed for this composition is 14 meV per atom. The calculation puts the spin magnetization at 0.0 Bohr magnetons per cell. For the electronic total energy, the calculation gives -5.363 eV per atom.

Unit cell a=4.4170 b=4.4170 c=30.7445 alpha=90.00 beta=90.00 gamma=120.00
Space group P6_3/mmc (No. 194)
One atom of each set of equivalent atoms:
1 Pr 0.0000 0.0000 0.0000 [2 per cell]
2 Pr 0.3333 0.6667 0.1250 [4 per cell]
3 Sm 0.3333 0.6667 0.7500 [2 per cell]
4 Te 0.0000 0.0000 0.1884 [4 per cell]
5 Te 0.3333 0.6667 0.5629 [4 per cell]

---

Record 5
Material: PrSm5Te8
Method: DFT, PBE
State: optimized geometry

Properties
The value obtained for the uncorrected formation energy is -1.401 eV/atom. The calculation puts the spin magnetization at 0.0 Bohr magnetons per cell. For the electronic total energy, the calculation gives -5.223 eV per atom.

Unit cell a=9.741 b=9.741 c=9.205 alpha=90.00 beta=90.00 gamma=90.00
Space group I-4 (No. 82)
One atom of each set of equivalent atoms:
1 Pr 0.000 0.000 0.000 [2 per cell]
2 Sm 0.000 0.500 0.750 [2 per cell]
3 Sm 0.165 0.252 0.375 [8 per cell]
4 Te 0.064 0.179 0.691 [8 per cell]
5 Te 0.067 0.325 0.058 [8 per cell]

---

Record 6
Material: Pr3Sm2Te6
Method: DFT, PBE
State: optimized geometry

Properties
The value obtained for the uncorrected formation energy is -1.471 eV/atom. The calculation puts the spin magnetization at 0.0 Bohr magnetons per cell. For the electronic total energy, the calculation gives -5.346 eV per atom.

Unit cell a=7.756 b=13.379 c=7.721 alpha=90.00 beta=109.59 gamma=90.00
Space group C2/m (No. 12)
One atom of each set of equivalent atoms:
1 Pr 0.000 0.000 0.000 [2 per cell]
2 Pr 0.000 0.332 0.000 [4 per cell]
3 Sm 0.000 0.165 0.500 [4 per cell]
4 Te 0.241 0.338 0.738 [8 per cell]
5 Te 0.244 0.500 0.262 [4 per cell]

---

Record 7
Material: Pr6SmTe8
Method: DFT, PBE
State: optimized geometry

Properties
The value obtained for the uncorrected formation energy is -1.467 eV/atom. The calculation puts the spin magnetization at 0.0 Bohr magnetons per cell. For the electronic total energy, the calculation gives -5.369 eV per atom.

Unit cell a=12.761 b=12.761 c=12.761 alpha=90.00 beta=90.00 gamma=90.00
Space group Fm-3m (No. 225)
One atom of each set of equivalent atoms:
1 Pr 0.000 0.250 0.250 [24 per cell]
2 Sm 0.000 0.000 0.000 [4 per cell]
3 Te 0.000 0.000 0.252 [24 per cell]
4 Te 0.250 0.250 0.250 [8 per cell]

---

Record 8
Material: PrSm6Te8
Method: DFT, PBE
State: optimized geometry

Properties
The value obtained for the uncorrected formation energy is -1.439 eV/atom. Its energy relative to the lowest polymorph listed for this composition is 0 meV per atom. The calculation puts the spin magnetization at 0.0 Bohr magnetons per cell. For the electronic total energy, the calculation gives -5.320 eV per atom.

Unit cell a=12.533 b=12.533 c=12.533 alpha=90.00 beta=90.00 gamma=90.00
Space group Fm-3m (No. 225)
One atom of each set of equivalent atoms:
1 Pr 0.000 0.000 0.000 [4 per cell]
2 Sm 0.000 0.250 0.250 [24 per cell]
3 Te 0.000 0.000 0.259 [24 per cell]
4 Te 0.250 0.250 0.250 [8 per cell]

---

Record 9
Material: Pr5SmTe4
Method: DFT, PBE
State: optimized geometry

Properties
The value obtained for the uncorrected formation energy is -1.022 eV/atom. The calculation puts the spin magnetization at 0.0 Bohr magnetons per cell. For the electronic total energy, the calculation gives -5.140 eV per atom.

Unit cell a=18.963 b=4.368 c=8.760 alpha=90.00 beta=102.22 gamma=90.00
Space group C2/m (No. 12)
One atom of each set of equivalent atoms:
1 Pr 0.000 0.000 0.000 [2 per cell]
2 Pr 0.165 0.500 0.311 [4 per cell]
3 Pr 0.183 0.500 0.855 [4 per cell]
4 Sm 0.000 0.000 0.500 [2 per cell]
5 Te 0.009 0.500 0.751 [4 per cell]
6 Te 0.166 0.000 0.577 [4 per cell]

---

Record 10
Material: PrSmTe6
Method: DFT, PBE
State: optimized geometry

Properties
The value obtained for the uncorrected formation energy is -0.982 eV/atom. The calculation puts the spin magnetization at 0.0 Bohr magnetons per cell. For the electronic total energy, the calculation gives -4.525 eV per atom.

Unit cell a=4.390 b=4.389 c=27.376 alpha=90.00 beta=90.00 gamma=90.00
Space group Amm2 (No. 38)
One atom of each set of equivalent atoms:
1 Pr 0.000 0.000 0.000 [2 per cell]
2 Sm 0.500 0.000 0.656 [2 per cell]
3 Te 0.000 0.000 0.122 [2 per cell]
4 Te 0.000 0.000 0.405 [2 per cell]
5 Te 0.000 0.000 0.749 [2 per cell]
6 Te 0.500 0.000 0.249 [2 per cell]
7 Te 0.500 0.000 0.536 [2 per cell]
8 Te 0.500 0.000 0.905 [2 per cell]

---

Record 11
Material: Pr2Sm3Te6
Method: DFT, PBE
State: optimized geometry

Properties
The value obtained for the uncorrected formation energy is -1.466 eV/atom. The calculation puts the spin magnetization at 0.0 Bohr magnetons per cell. For the electronic total energy, the calculation gives -5.336 eV per atom.

Unit cell a=7.731 b=13.330 c=7.726 alpha=90.00 beta=109.55 gamma=90.00
Space group C2/m (No. 12)
One atom of each set of equivalent atoms:
1 Pr 0.000 0.164 0.000 [4 per cell]
2 Sm 0.000 0.000 0.500 [2 per cell]
3 Sm 0.000 0.330 0.500 [4 per cell]
4 Te 0.238 0.500 0.749 [4 per cell]
5 Te 0.243 0.339 0.249 [8 per cell]

---

Record 12
Material: PrSmTe2
Method: DFT, PBE
State: optimized geometry

Properties
The value obtained for the uncorrected formation energy is -1.308 eV/atom. Its energy relative to the lowest polymorph listed for this composition is 117 meV per atom. The calculation puts the spin magnetization at 0.1 Bohr magnetons per cell. For the electronic total energy, the calculation gives -5.253 eV per atom.

Unit cell a=7.744 b=7.744 c=7.744 alpha=90.00 beta=90.00 gamma=90.00
Space group Fm-3m (No. 225)
One atom of each set of equivalent atoms:
1 Pr 0.000 0.000 0.000 [4 per cell]
2 Sm 0.000 0.000 0.500 [4 per cell]
3 Te 0.250 0.250 0.250 [8 per cell]

---

Record 13
Material: PrSm3Te2
Method: DFT, PBE
State: optimized geometry

Properties
The value obtained for the uncorrected formation energy is -0.847 eV/atom. The calculation puts the spin magnetization at 0.0 Bohr magnetons per cell. For the electronic total energy, the calculation gives -5.050 eV per atom.

Unit cell a=18.703 b=4.023 c=10.975 alpha=90.00 beta=114.34 gamma=90.00
Space group C2/m (No. 12)
One atom of each set of equivalent atoms:
1 Pr 0.110 0.000 0.108 [4 per cell]
2 Sm 0.050 0.000 0.657 [4 per cell]
3 Sm 0.135 0.500 0.460 [4 per cell]
4 Sm 0.192 0.500 0.865 [4 per cell]
5 Te 0.014 0.500 0.849 [4 per cell]
6 Te 0.249 0.500 0.311 [4 per cell]

---

Record 14
Material: Pr5Sm3Te8
Method: DFT, PBE
State: optimized geometry

Properties
The value obtained for the uncorrected formation energy is -1.414 eV/atom. The calculation puts the spin magnetization at 0.0 Bohr magnetons per cell. For the electronic total energy, the calculation gives -5.363 eV per atom.

Unit cell a=8.9903 b=8.9903 c=22.0963 alpha=90.00 beta=90.00 gamma=120.00
Space group R-3m (No. 166, hexagonal axes)
One atom of each set of equivalent atoms:
1 Pr 0.0000 0.0000 0.0000 [3 per cell]
2 Pr 0.0000 0.0000 0.5000 [3 per cell]
3 Pr 0.0000 0.5000 0.0000 [9 per cell]
4 Sm 0.0000 0.5000 0.5000 [9 per cell]
5 Te 0.0000 0.0000 0.2476 [6 per cell]
6 Te 0.0032 0.5016 0.7516 [18 per cell]

---

Record 15
Material: PrSm4Te7
Method: DFT, PBE
State: optimized geometry

Properties
The value obtained for the uncorrected formation energy is -1.417 eV/atom. The calculation puts the spin magnetization at 0.0 Bohr magnetons per cell. For the electronic total energy, the calculation gives -5.221 eV per atom.

Unit cell a=14.651 b=4.330 c=13.444 alpha=90.00 beta=104.24 gamma=90.00
Space group Cm (No. 8)
One atom of each set of equivalent atoms:
1 Pr 0.000 0.000 0.000 [2 per cell]
2 Sm 0.116 0.000 0.424 [2 per cell]
3 Sm 0.231 0.000 0.845 [2 per cell]
4 Sm 0.317 0.500 0.237 [2 per cell]
5 Sm 0.415 0.000 0.610 [2 per cell]
6 Te 0.077 0.000 0.640 [2 per cell]
7 Te 0.117 0.500 0.920 [2 per cell]
8 Te 0.156 0.000 0.209 [2 per cell]
9 Te 0.277 0.500 0.471 [2 per cell]
10 Te 0.356 0.500 0.770 [2 per cell]
11 Te 0.369 0.000 0.075 [2 per cell]
12 Te 0.455 0.000 0.376 [2 per cell]

---

Record 16
Material: Pr2Sm2Te3
Method: DFT, PBE
State: optimized geometry

Properties
The value obtained for the uncorrected formation energy is -1.207 eV/atom. Its energy relative to the lowest polymorph listed for this composition is 0 meV per atom. The calculation puts the spin magnetization at 0.0 Bohr magnetons per cell. For the electronic total energy, the calculation gives -5.268 eV per atom.

Unit cell a=9.417 b=9.417 c=9.417 alpha=90.00 beta=90.00 gamma=90.00
Space group I2_13 (No. 199)
One atom of each set of equivalent atoms:
1 Pr 0.073 0.073 0.073 [8 per cell]
2 Sm 0.180 0.320 0.680 [8 per cell]
3 Te 0.000 0.250 0.379 [12 per cell]

---

Record 17
Material: PrSm3Te6
Method: DFT, PBE
State: optimized geometry

Properties
The value obtained for the uncorrected formation energy is -1.248 eV/atom. Its energy relative to the lowest polymorph listed for this composition is 180 meV per atom. The calculation puts the spin magnetization at 0.0 Bohr magnetons per cell. For the electronic total energy, the calculation gives -5.026 eV per atom.

Unit cell a=14.096 b=8.617 c=7.703 alpha=90.00 beta=122.75 gamma=90.00
Space group C2/m (No. 12)
One atom of each set of equivalent atoms:
1 Pr 0.000 0.000 0.000 [2 per cell]
2 Sm 0.000 0.500 0.500 [2 per cell]
3 Sm 0.250 0.000 0.677 [4 per cell]
4 Te 0.091 0.251 0.344 [8 per cell]
5 Te 0.247 0.500 0.924 [4 per cell]

---

Record 18
Material: Pr2SmTe
Method: DFT, PBE
State: optimized geometry

Properties
The value obtained for the uncorrected formation energy is -0.546 eV/atom. Its energy relative to the lowest polymorph listed for this composition is 39 meV per atom. The calculation puts the spin magnetization at 0.0 Bohr magnetons per cell. For the electronic total energy, the calculation gives -4.901 eV per atom.

Unit cell a=3.9988 b=3.9988 c=30.6711 alpha=90.00 beta=90.00 gamma=120.00
Space group R-3m (No. 166, hexagonal axes)
One atom of each set of equivalent atoms:
1 Pr 0.0000 0.0000 0.2384 [6 per cell]
2 Sm 0.0000 0.0000 0.0000 [3 per cell]
3 Te 0.0000 0.0000 0.5000 [3 per cell]

---

Record 19
Material: Pr2Sm2Te3
Method: DFT, PBE
State: optimized geometry

Properties
The value obtained for the uncorrected formation energy is -1.092 eV/atom. Its energy relative to the lowest polymorph listed for this composition is 115 meV per atom. The calculation puts the spin magnetization at 0.0 Bohr magnetons per cell. For the electronic total energy, the calculation gives -5.153 eV per atom.

Unit cell a=16.576 b=4.342 c=7.413 alpha=90.00 beta=116.30 gamma=90.00
Space group C2/m (No. 12)
One atom of each set of equivalent atoms:
1 Pr 0.125 0.000 0.302 [4 per cell]
2 Sm 0.112 0.500 0.764 [4 per cell]
3 Te 0.000 0.500 0.000 [2 per cell]
4 Te 0.247 0.000 0.768 [4 per cell]

---

Record 20
Material: Pr2SmTe
Method: DFT, PBE
State: optimized geometry

Properties
The value obtained for the uncorrected formation energy is -0.585 eV/atom. Its energy relative to the lowest polymorph listed for this composition is 0 meV per atom. The calculation puts the spin magnetization at 0.0 Bohr magnetons per cell. For the electronic total energy, the calculation gives -4.940 eV per atom.

Unit cell a=3.994 b=3.994 c=8.190 alpha=90.00 beta=90.00 gamma=90.00
Space group P4/mmm (No. 123)
One atom of each set of equivalent atoms:
1 Pr 0.000 0.000 0.221 [2 per cell]
2 Sm 0.500 0.500 0.500 [1 per cell]
3 Te 0.500 0.500 0.000 [1 per cell]

---

Record 21
Material: Pr2SmTe
Method: DFT, PBE
State: optimized geometry

Properties
The value obtained for the uncorrected formation energy is -0.533 eV/atom. Its energy relative to the lowest polymorph listed for this composition is 52 meV per atom. The calculation puts the spin magnetization at 0.0 Bohr magnetons per cell. For the electronic total energy, the calculation gives -4.888 eV per atom.

Unit cell a=4.963 b=4.963 c=4.872 alpha=90.00 beta=90.00 gamma=90.00
Space group P4/mmm (No. 123)
One atom of each set of equivalent atoms:
1 Pr 0.000 0.500 0.000 [2 per cell]
2 Sm 0.000 0.000 0.500 [1 per cell]
3 Te 0.500 0.500 0.500 [1 per cell]

---

Record 22
Material: PrSm3Te3
Method: DFT, PBE
State: optimized geometry

Properties
The value obtained for the uncorrected formation energy is -1.108 eV/atom. The calculation puts the spin magnetization at 0.0 Bohr magnetons per cell. For the electronic total energy, the calculation gives -5.160 eV per atom.

Unit cell a=9.2530 b=9.2530 c=18.1593 alpha=90.00 beta=90.00 gamma=120.00
Space group R-3 (No. 148, hexagonal axes)
One atom of each set of equivalent atoms:
1 Pr 0.0000 0.0000 0.1847 [6 per cell]
2 Sm 0.0061 0.2543 0.4142 [18 per cell]
3 Te 0.0177 0.3951 0.5811 [18 per cell]